(1)
Computed, not measured: a relaxed structure of Ho2AlGa3 at the GGA-PBE level of DFT.

The space group is Fmmm (No. 69) and the conventional cell measures 7.160, 8.823 and 15.340 Å, with angles of 90.00, 90.00 and 90.00 degrees. The inequivalent atoms are Ho at (0.247, 0.000, 0.000), Ho at (0.250, 0.250, 0.250), Al at (0.000, 0.000, 0.334), Ga at (0.000, 0.000, 0.167) and Ga at (0.000, 0.249, 0.417).

As for the size of the total moment: 0.00 μB per atom. For the energy of formation, the calculation gives -0.590 eV/atom. As for the crystal system: orthorhombic.

---

(2)
Computed, not measured: a relaxed structure of Ti2SiPb2 at the GGA-PBE level of DFT.

The space group is I4/mmm (No. 139) and the conventional cell measures 3.588, 3.588 and 17.725 Å, with angles of 90.00, 90.00 and 90.00 degrees. The inequivalent atoms are Ti at (0.000, 0.500, 0.250), Si at (0.000, 0.000, 0.000) and Pb at (0.000, 0.000, 0.397).

As for the size of the total moment: 0.00 μB per atom. The value obtained for the energy relative to the elements, uncorrected is 0.57 eV per atom. As for the crystal system: tetragonal.

---

(3)
Computed, not measured: a relaxed structure of Tm4Sb2TeSe at the GGA-PBE level of DFT.

The space group is P2/m (No. 10) and the conventional cell measures 7.330, 4.271 and 7.403 Å, with angles of 90.00, 109.70 and 90.00 degrees. The inequivalent atoms are Tm at (0.245, 0.000, 0.239), Tm at (0.252, 0.500, 0.761), Sb at (0.500, 0.000, 0.000), Sb at (0.500, 0.500, 0.500), Te at (0.000, 0.000, 0.500) and Se at (0.000, 0.500, 0.000).

As for the size of the total moment: 0.00 μB per atom. The value obtained for the energy relative to the elements, uncorrected is -1.25 eV per atom. As for the crystal system: monoclinic.

---

(4)
Computed, not measured: a relaxed structure of Tb4Si2I3 at the GGA-PBE level of DFT.

The space group is C2/m (No. 12) and the conventional cell measures 7.323, 4.228 and 18.771 Å, with angles of 90.00, 90.03 and 90.00 degrees. The inequivalent atoms are Tb at (0.000, 0.000, 0.218), Tb at (0.166, 0.500, 0.379), Si at (0.167, 0.500, 0.697), I at (0.000, 0.000, 0.500) and I at (0.166, 0.500, 0.111).

As for the size of the total moment: 0.00 μB per atom. The value obtained for the energy relative to the elements, uncorrected is -1.04 eV per atom. As for the crystal system: monoclinic.

---

(5)
Computed, not measured: a relaxed structure of YHoHgRh at the GGA-PBE level of DFT.

The space group is F-43m (No. 216) and the conventional cell measures 7.135, 7.135 and 7.135 Å, with angles of 90.00, 90.00 and 90.00 degrees. The inequivalent atoms are Y at (0.000, 0.000, 0.000), Ho at (0.000, 0.000, 0.500), Hg at (0.250, 0.250, 0.250) and Rh at (0.250, 0.250, 0.750).

As for the size of the total moment: 0.00 μB per atom. For the energy of formation, the calculation gives -0.623 eV/atom. As for the crystal system: cubic.

---

(6)
Computed, not measured: a relaxed structure of DyYLu at the GGA-PBE level of DFT.

The space group is P3m1 (No. 156) and the conventional cell measures 3.5284, 3.5284 and 8.6170 Å, with angles of 90.00, 90.00 and 120.00 degrees. The inequivalent atoms are Dy at (0.0000, 0.0000, 0.0000), Y at (0.3333, 0.6667, 0.6611) and Lu at (0.6667, 0.3333, 0.3292).

As for the size of the total moment: 0.00 μB per atom. For the energy of formation, the calculation gives 0.032 eV/atom. As for the crystal system: trigonal.

---

(7)
Computed, not measured: a relaxed structure of PmEuErTl at the GGA-PBE level of DFT.

The space group is F-43m (No. 216) and the conventional cell measures 7.901, 7.901 and 7.901 Å, with angles of 90.00, 90.00 and 90.00 degrees. The inequivalent atoms are Pm at (0.000, 0.000, 0.000), Eu at (0.250, 0.250, 0.750), Er at (0.250, 0.250, 0.250) and Tl at (0.000, 0.000, 0.500).

As for the size of the total moment: 2.02 μB per atom. For the energy of formation, the calculation gives 0.010 eV/atom. As for the crystal system: cubic.

---

(8)
Computed, not measured: a relaxed structure of CsV2Pt2 at the GGA-PBE level of DFT.

The space group is I4/mmm (No. 139) and the conventional cell measures 4.674, 4.674 and 9.774 Å, with angles of 90.00, 90.00 and 90.00 degrees. The inequivalent atoms are Cs at (0.000, 0.000, 0.000), V at (0.000, 0.000, 0.362) and Pt at (0.000, 0.500, 0.250).

As for the size of the total moment: 0.00 μB per atom. For the energy of formation, the calculation gives 0.471 eV/atom. As for the crystal system: tetragonal.

---

(9)
Computed, not measured: a relaxed structure of SmY2Ho5 at the GGA-PBE level of DFT.

The space group is P2_1/m (No. 11) and the conventional cell measures 5.767, 10.831 and 8.654 Å, with angles of 90.00, 105.43 and 90.00 degrees. The inequivalent atoms are Sm at (0.056, 0.250, 0.369), Y at (0.343, 0.607, 0.456), Ho at (0.206, 0.087, 0.737), Ho at (0.243, 0.750, 0.068) and Ho at (0.305, 0.083, 0.123).

As for the size of the total moment: 0.00 μB per atom. For the energy of formation, the calculation gives 0.200 eV/atom. As for the crystal system: monoclinic.

---

(10)
Computed, not measured: a relaxed structure of Be2BRu at the GGA-PBE level of DFT.

The space group is C2/c (No. 15) and the conventional cell measures 4.093, 9.580 and 4.063 Å, with angles of 90.00, 118.12 and 90.00 degrees. The inequivalent atoms are Be at (0.178, 0.085, 0.105), B at (0.000, 0.247, 0.750) and Ru at (0.000, 0.348, 0.250).

As for the size of the total moment: 0.00 μB per atom. For the energy of formation, the calculation gives -0.307 eV/atom. As for the crystal system: monoclinic.

---

(11)
Computed, not measured: a relaxed structure of InSb2Au at the GGA-PBE level of DFT.

The space group is I-4m2 (No. 119) and the conventional cell measures 4.899, 4.899 and 8.332 Å, with angles of 90.00, 90.00 and 90.00 degrees. The inequivalent atoms are In at (0.000, 0.000, 0.000), Sb at (0.000, 0.000, 0.500), Sb at (0.000, 0.500, 0.750) and Au at (0.000, 0.500, 0.250).

As for the size of the total moment: 0.00 μB per atom. The value obtained for the energy relative to the elements, uncorrected is 0.15 eV per atom. As for the crystal system: tetragonal.

---

(12)
Computed, not measured: a relaxed structure of RbNbCuTe2 at the GGA-PBE level of DFT.

The space group is P4/mmm (No. 123) and the conventional cell measures 6.260, 6.260 and 5.471 Å, with angles of 90.00, 90.00 and 90.00 degrees. The inequivalent atoms are Rb at (0.000, 0.000, 0.000), Nb at (0.000, 0.000, 0.500), Cu at (0.500, 0.500, 0.500) and Te at (0.000, 0.500, 0.000).

As for the size of the total moment: 0.59 μB per atom. The value obtained for the energy relative to the elements, uncorrected is 1.98 eV per atom. As for the crystal system: tetragonal.

---

(13)
Computed, not measured: a relaxed structure of NiGe3Pt2 at the GGA-PBE level of DFT.

The space group is C2/m (No. 12) and the conventional cell measures 12.353, 3.831 and 8.437 Å, with angles of 90.00, 96.65 and 90.00 degrees. The inequivalent atoms are Ni at (0.000, 0.000, 0.000), Ni at (0.000, 0.500, 0.500), Ge at (0.021, 0.000, 0.316), Ge at (0.125, 0.500, 0.030), Ge at (0.191, 0.500, 0.641), Pt at (0.161, 0.500, 0.335) and Pt at (0.168, 0.000, 0.845).

As for the size of the total moment: 0.00 μB per atom. For the energy of formation, the calculation gives -0.398 eV/atom. As for the crystal system: monoclinic.

---

(14)
Computed, not measured: a relaxed structure of Tb8Pm6Nd at the GGA-PBE level of DFT.

The space group is R-3 (No. 148, hexagonal axes) and the conventional cell measures 9.1569, 9.1569 and 20.8450 Å, with angles of 90.00, 90.00 and 120.00 degrees. The inequivalent atoms are Tb at (0.0000, 0.0000, 0.0766), Tb at (0.0803, 0.5534, 0.3080), Pm at (0.0603, 0.2466, 0.2089) and Nd at (0.0000, 0.0000, 0.5000).

As for the size of the total moment: 0.00 μB per atom. For the energy of formation, the calculation gives 0.123 eV/atom. As for the crystal system: trigonal.

---

(15)
Computed, not measured: a relaxed structure of Ac2PmThPt4 at the GGA-PBE level of DFT.

The space group is P2/m (No. 10) and the conventional cell measures 7.417, 4.279 and 7.436 Å, with angles of 90.00, 109.34 and 90.00 degrees. The inequivalent atoms are Ac at (0.000, 0.000, 0.000), Ac at (0.000, 0.500, 0.500), Pm at (0.500, 0.000, 0.500), Th at (0.500, 0.500, 0.000), Pt at (0.267, 0.500, 0.251) and Pt at (0.269, 0.000, 0.760).

As for the size of the total moment: 0.00 μB per atom. For the energy of formation, the calculation gives -1.174 eV/atom. As for the crystal system: monoclinic.

---

(16)
Computed, not measured: a relaxed structure of La5Tb2Tm5 at the GGA-PBE level of DFT.

The space group is C2/m (No. 12) and the conventional cell measures 15.401, 5.081 and 11.419 Å, with angles of 90.00, 116.81 and 90.00 degrees. The inequivalent atoms are La at (0.000, 0.000, 0.000), La at (0.080, 0.000, 0.749), La at (0.248, 0.000, 0.251), Tb at (0.166, 0.000, 0.499), Tm at (0.000, 0.500, 0.500), Tm at (0.085, 0.500, 0.254) and Tm at (0.167, 0.500, 0.000).

As for the size of the total moment: 0.00 μB per atom. For the energy of formation, the calculation gives 0.032 eV/atom. As for the crystal system: monoclinic.

---

(17)
Computed, not measured: a relaxed structure of RhPb2Se at the GGA-PBE level of DFT.

The space group is P2/m (No. 10) and the conventional cell measures 3.475, 3.454 and 7.528 Å, with angles of 90.00, 90.55 and 90.00 degrees. The inequivalent atoms are Rh at (0.000, 0.000, 0.000), Pb at (0.497, 0.500, 0.773) and Se at (0.000, 0.000, 0.500).

As for the size of the total moment: 0.00 μB per atom. The value obtained for the energy relative to the elements, uncorrected is 0.02 eV per atom. As for the crystal system: monoclinic.

---

(18)
Computed, not measured: a relaxed structure of K2NaPuCl5 at the GGA-PBE level of DFT.

The space group is Cmc2_1 (No. 36) and the conventional cell measures 4.273, 18.038 and 14.289 Å, with angles of 90.00, 90.00 and 90.00 degrees. The inequivalent atoms are K at (0.000, 0.085, 0.000), K at (0.000, 0.131, 0.633), Na at (0.000, 0.461, 0.788), Pu at (0.000, 0.226, 0.362), Cl at (0.000, 0.071, 0.395), Cl at (0.000, 0.264, 0.998), Cl at (0.000, 0.298, 0.734), Cl at (0.000, 0.381, 0.332) and Cl at (0.000, 0.498, 0.112).

As for the size of the total moment: 0.67 μB per atom. The value obtained for the energy relative to the elements, uncorrected is -1.82 eV per atom. As for the crystal system: orthorhombic.

---

(19)
Computed, not measured: a relaxed structure of NdCd2InPd4 at the GGA-PBE level of DFT.

The space group is R-3m (No. 166, hexagonal axes) and the conventional cell measures 4.7733, 4.7733 and 23.3005 Å, with angles of 90.00, 90.00 and 120.00 degrees. The inequivalent atoms are Nd at (0.0000, 0.0000, 0.0000), Cd at (0.0000, 0.0000, 0.2507), In at (0.0000, 0.0000, 0.5000), Pd at (0.0000, 0.0000, 0.1289) and Pd at (0.0000, 0.0000, 0.3835).

As for the size of the total moment: 0.00 μB per atom. For the energy of formation, the calculation gives -0.548 eV/atom. As for the crystal system: trigonal.

---

(20)
Computed, not measured: a relaxed structure of TbYSnIr at the GGA-PBE level of DFT.

The space group is F-43m (No. 216) and the conventional cell measures 7.217, 7.217 and 7.217 Å, with angles of 90.00, 90.00 and 90.00 degrees. The inequivalent atoms are Tb at (0.000, 0.000, 0.000), Y at (0.000, 0.000, 0.500), Sn at (0.250, 0.250, 0.250) and Ir at (0.250, 0.250, 0.750).

As for the size of the total moment: 0.00 μB per atom. For the energy of formation, the calculation gives -0.604 eV/atom. As for the crystal system: cubic.